Model A:
This record from Alexandria via LeMat-Bulk describes an optimized crystal structure of Tb3Nd4Sc. The functional is PBE-GGA.

For the calculated volume, the calculation gives 33.4 Å³ per atom. Its total magnetization is 0.00 μB/atom. Its space group is C2/m (12). Its density of states at the Fermi level is 1.63 states/eV per atom.

The structure in POSCAR format:
```
Tb3Nd4Sc
1.0
-0.7603 3.0622 1.8853
-3.0646 -2.9060 3.4842
12.5500 -2.1330 4.9579
Tb Nd Sc
3 4 1
direct
0.1401 0.1403 0.2805
0.8599 0.8597 0.7195
0.5000 0.0000 0.0000
0.7172 0.7186 0.4372
0.5960 0.5954 0.1907
0.4040 0.4046 0.8093
0.2828 0.2814 0.5628
0.0000 0.5000 0.0000
```


Model B:
This record from Alexandria via LeMat-Bulk describes an optimized crystal structure of Tb3Nd4Sc. The functional is PBE-GGA.

For the calculated volume, the calculation gives 32.9 Å³ per atom. Its total magnetization is 0.00 μB/atom. Its space group is Pmn2_1 (31). Its density of states at the Fermi level is 1.80 states/eV per atom.

The structure in POSCAR format:
```
Tb3Nd4Sc
1.0
6.2735 0.0000 0.0000
0.0000 7.2851 0.0000
0.0000 0.0000 11.5112
Nd Tb Sc
8 6 2
direct
0.4864 0.8694 0.7416
0.1559 0.8685 0.0000
0.1352 0.8709 0.5000
0.6559 0.1315 0.5000
0.9864 0.1306 0.7584
0.9864 0.1306 0.2416
0.6352 0.1291 0.0000
0.4864 0.8694 0.2584
0.4782 0.3813 0.2504
0.4782 0.3813 0.7496
0.6496 0.6220 0.0000
0.1496 0.3780 0.5000
0.9782 0.6187 0.2496
0.9782 0.6187 0.7504
0.1455 0.3836 0.0000
0.6455 0.6164 0.5000
```


Least stable structure: model A


Model A:
This record from Alexandria via LeMat-Bulk describes an optimized crystal structure of Tb4Nd5Sc2. The functional is PBE-GGA.

For the calculated volume, the calculation gives 32.4 Å³ per atom. Its total magnetization is 0.00 μB/atom. Its space group is P2/m (10). Its density of states at the Fermi level is 1.55 states/eV per atom.

The structure in POSCAR format:
```
Tb4Nd5Sc2
1.0
-2.5715 -2.4021 0.0422
4.7120 -4.9446 5.6776
-4.4803 4.9588 9.2628
Tb Nd Sc
4 5 2
direct
0.5000 0.7395 0.4429
0.5000 0.8338 0.8772
0.5000 0.2605 0.5571
0.5000 0.1662 0.1228
0.0000 0.1842 0.8387
0.0000 0.5679 0.6937
0.0000 0.8158 0.1613
0.0000 0.4321 0.3063
0.0000 0.5000 0.0000
0.0000 0.9393 0.6312
0.0000 0.0607 0.3688
```


Model B:
This record from Alexandria via LeMat-Bulk describes an optimized crystal structure of Tb4Nd5Sc2. The functional is PBE-GGA.

For the calculated volume, the calculation gives 33.6 Å³ per atom. Its total magnetization is 0.00 μB/atom. Its space group is Immm (71). Its density of states at the Fermi level is 1.67 states/eV per atom.

The structure in POSCAR format:
```
Tb4Nd5Sc2
1.0
3.4835 0.0000 0.0000
0.0000 9.2735 0.0000
-1.7417 -4.6367 11.4480
Tb Nd Sc
4 5 2
direct
0.5990 0.5990 0.1979
0.4010 0.4010 0.8021
0.0000 0.6914 0.0000
0.0000 0.3086 0.0000
0.1538 0.9469 0.3076
0.8462 0.0531 0.6924
0.5000 0.0000 0.0000
0.8462 0.6393 0.6924
0.1538 0.3607 0.3076
0.7301 0.7301 0.4602
0.2699 0.2699 0.5398
```


Least stable structure: model B


Model A:
This record from Alexandria via LeMat-Bulk describes an optimized crystal structure of TbNd12Sc6. The functional is PBE-GGA.

For the calculated volume, the calculation gives 32.8 Å³ per atom. Its total magnetization is 0.00 μB/atom. Its space group is R-3 (148). Its density of states at the Fermi level is 1.50 states/eV per atom.

The structure in POSCAR format:
```
TbNd12Sc6
1.0
-3.8036 3.8627 -7.2546
8.9266 -0.1695 -1.5178
-2.7857 -8.6163 0.1255
Nd Sc Tb
12 6 1
direct
0.8029 0.4312 0.5237
0.2794 0.1350 0.8288
0.7206 0.8650 0.1712
0.1971 0.5688 0.4763
0.5237 0.8029 0.4312
0.4763 0.1971 0.5688
0.1712 0.7206 0.8650
0.8650 0.1712 0.7206
0.1350 0.8288 0.2794
0.5688 0.4763 0.1971
0.8288 0.2794 0.1350
0.4312 0.5237 0.8029
0.0709 0.1860 0.4643
0.8140 0.5357 0.9291
0.5357 0.9291 0.8140
0.1860 0.4643 0.0709
0.4643 0.0709 0.1860
0.9291 0.8140 0.5357
0.0000 0.0000 0.0000
```


Model B:
This record from Alexandria via LeMat-Bulk describes an optimized crystal structure of TbNd12Sc6. The functional is PBE-GGA.

For the calculated volume, the calculation gives 32.1 Å³ per atom. Its total magnetization is 0.00 μB/atom. Its space group is Im-3 (204). Its density of states at the Fermi level is 1.80 states/eV per atom.

The structure in POSCAR format:
```
TbNd12Sc6
1.0
-8.5051 -1.9133 3.1070
1.5632 -4.7111 -7.8111
6.2391 -2.4500 6.3813
Sc Nd Tb
6 12 1
direct
0.8624 0.3624 0.5000
0.1376 0.6376 0.5000
0.6376 0.5000 0.1376
0.5000 0.8624 0.3624
0.5000 0.1376 0.6376
0.3624 0.5000 0.8624
0.9296 0.1988 0.7309
0.7309 0.9296 0.1988
0.8012 0.7309 0.5321
0.1988 0.7309 0.9296
0.2691 0.0704 0.8012
0.7309 0.5321 0.8012
0.0704 0.8012 0.2691
0.1988 0.2691 0.4679
0.5321 0.8012 0.7309
0.8012 0.2691 0.0704
0.2691 0.4679 0.1988
0.4679 0.1988 0.2691
0.0000 0.0000 0.0000
```


Least stable structure: model A